[1]
Computed, not measured: crystalline NaAgS at its relaxed geometry at the PBE level of DFT.

Cell: 4.098 4.302 4.302 Å, 120.00 90.00 90.00°
Atoms (fractional coordinates):
1 Ag 0.167 0.333 0.667
2 S 0.166 0.000 0.000
3 Na 0.667 0.667 0.333

Output
Calculated volume in Å³/cell: 66
SG: P3m1 (156)
E_tot in eV/atom: -3.302
ΔE_f (raw) in eV per atom: -0.536
Fermi-level density of states in states/eV/f.u.: 0.2
Total moment in μB per cell: 0.00

=====

[2]
Computed, not measured: crystalline NaAg2S2 at its relaxed geometry at the PBE level of DFT.

Cell: 4.182 4.377 7.350 Å, 107.32 106.53 90.00°
Atoms (fractional coordinates):
1 S 0.361 0.861 0.722
2 Na 0.000 0.000 0.000
3 S 0.639 0.139 0.278
4 Ag 0.732 0.732 0.463
5 Ag 0.268 0.268 0.537

Output
Calculated volume in Å³/cell: 123
SG: Immm (71)
E_tot in eV/atom: -3.305
ΔE_f (raw) in eV per atom: -0.250
Fermi-level density of states in states/eV/f.u.: 4.1
Total moment in μB per cell: 0.00
Polymorph energy (0 for the lowest one) in eV/atom: 0.000

=====

[3]
Computed, not measured: crystalline NaAg3S3 at its relaxed geometry at the PBE level of DFT.

Cell: 7.230 7.230 8.099 Å, 63.49 63.49 60.00°
Atoms (fractional coordinates):
1 Ag 0.794 0.118 0.649
2 Na 0.334 0.334 0.999
3 S 0.084 0.745 0.744
4 S 0.255 0.573 0.256
5 Ag 0.439 0.794 0.649
6 S 0.427 0.084 0.744
7 Ag 0.206 0.882 0.351
8 Ag 0.561 0.206 0.351
9 Ag 0.882 0.561 0.351
10 S 0.745 0.427 0.744
11 Na 0.666 0.666 0.001
12 S 0.573 0.916 0.256
13 S 0.916 0.255 0.256
14 Ag 0.118 0.439 0.649

Output
Calculated volume in Å³/cell: 314
SG: R-3 (148)
E_tot in eV/atom: -3.327
ΔE_f (raw) in eV per atom: -0.147
Fermi-level density of states in states/eV/f.u.: 7.3
Total moment in μB per cell: 0.00